Entry from Alexandria: an optimized crystal structure of SrMoOF2 (PBE+U).

Cell lengths 4.495, 4.495, 4.930 Å; angles 90.00, 90.00, 90.00 degrees
Last column: magnetic moment on the atom in μB.
Fractional coordinates of all 5 atoms:
Sr 0.000 0.000 0.000  0.00
Mo 0.500 0.500 0.500  3.83
O 0.000 0.000 0.500  -0.29
F 0.000 0.500 0.000  0.02
F 0.500 0.000 0.000  0.02

For the total DFT energy (no corrections), the calculation gives -5.09 eV per atom. Its space-group type is No. 123. For the density of states at the Fermi level, the calculation gives 0.83 states/eV/f.u. For the total magnetic moment, the calculation gives 0.800 μB/atom.